PBEsol SrCa3Si4, optimized geometry; formation energy (no corrections) = -0.559 eV/atom; D(E_F) = 0.409 states/eV/atom; total magnetic moment = 0.001 μB per cell
1.0
3.8985 0.0000 0.0000
0.0000 4.5341 0.0000
0.0000 0.0000 10.8691
Si Ca Sr
4 3 1
Direct
0.5000 0.0000 0.0581 Si
0.5000 0.5000 0.5726 Si
0.0000 0.5000 0.4372 Si
0.0000 0.0000 0.9242 Si
0.5000 0.0000 0.3677 Ca
0.5000 0.5000 0.8574 Ca
0.0000 0.0000 0.6405 Ca
0.0000 0.5000 0.1423 Sr

***

PBEsol KScSb2, optimized geometry; formation energy (no corrections) = -0.308 eV/atom; D(E_F) = 0.235 states/eV/atom; total magnetic moment = 0.000 μB per cell
1.0
-5.7352 -1.8108 -0.7274
0.8180 -0.1806 -5.9999
5.0992 -7.6168 3.9830
K Sb Sc
2 4 2
Direct
0.5000 0.5000 0.0000 K
0.7500 0.2500 0.5000 K
0.6250 0.8028 0.7500 Sb
0.1972 0.8750 0.2500 Sb
0.1250 0.9472 0.7500 Sb
0.0528 0.3750 0.2500 Sb
0.0000 0.0000 0.0000 Sc
0.2500 0.7500 0.5000 Sc

***

PBEsol LaIn2Sb, optimized geometry; formation energy (no corrections) = -0.258 eV/atom; D(E_F) = 0.926 states/eV/atom; total magnetic moment = 0.004 μB per cell
1.0
5.3874 0.0000 0.0000
2.6937 4.6656 0.0000
2.6937 1.5552 4.3988
Sb In La
1 2 1
Direct
0.5000 0.5000 0.5000 Sb
0.7500 0.7500 0.7500 In
0.2500 0.2500 0.2500 In
0.0000 0.0000 0.0000 La

***

PBEsol MoW2Se2S4, optimized geometry; formation energy (no corrections) = -0.825 eV/atom; total magnetic moment = 0.000 μB per cell
1.0
-1.1599 1.4274 2.5964
2.7398 -1.6101 0.1594
10.1342 16.7791 -4.6973
W S Mo Se
2 4 1 2
Direct
0.6667 0.3333 0.3213 W
0.6667 0.3333 0.6787 W
0.3333 0.6667 0.3984 S
0.3333 0.6667 0.2441 S
0.3333 0.6667 0.7559 S
0.3333 0.6667 0.6016 S
0.3333 0.6667 0.0000 Mo
0.6667 0.3333 0.0842 Se
0.6667 0.3333 0.9158 Se

***

PBEsol SrCaAu2, optimized geometry; D(E_F) = 1.172 states/eV/atom; total magnetic moment = 0.001 μB per cell; DFT formation energy = -416 meV per atom
1.0
-1.1715 4.1404 -2.6116
-2.5853 -0.3851 -4.3016
-4.7767 1.5725 -0.2148
Ca Sr Au
1 1 2
Direct
0.5000 0.5000 0.5000 Ca
0.2500 0.2500 0.2500 Sr
0.7500 0.7500 0.7500 Au
0.0000 0.0000 0.0000 Au

***

PBEsol CuTeBr3, optimized geometry; formation energy (no corrections) = 0.087 eV/atom; D(E_F) = 0.749 states/eV/atom; total magnetic moment = 0.001 μB per cell
1.0
4.9005 0.0000 0.0000
0.0000 4.9005 0.0000
0.0000 0.0000 4.9005
Te Cu Br
1 1 3
Direct
0.5000 0.5000 0.5000 Te
0.0000 0.0000 0.0000 Cu
0.0000 0.5000 0.0000 Br
0.0000 0.0000 0.5000 Br
0.5000 0.0000 0.0000 Br

***

PBEsol CaSb2P, optimized geometry; formation energy (no corrections) = -0.162 eV/atom; D(E_F) = 0.791 states/eV/atom; total magnetic moment = 0.000 μB per cell
1.0
3.9818 0.0000 0.0000
0.0000 3.9818 0.0000
0.0000 0.0000 6.0028
Sb P Ca
2 1 1
Direct
0.0000 0.0000 0.2695 Sb
0.0000 0.0000 0.7305 Sb
0.5000 0.5000 0.5000 P
0.5000 0.5000 0.0000 Ca

***

PBEsol BiTeW3, optimized geometry; formation energy (no corrections) = 2.400 eV/atom; D(E_F) = 1.089 states/eV/atom; total magnetic moment = 0.000 μB per cell
1.0
-1.1597 4.0961 2.4292
-2.9426 1.3494 -3.6802
-3.7444 -2.3291 2.1399
Bi W Te
1 3 1
Direct
0.5000 0.5000 0.5000 Bi
0.0000 0.5000 0.0000 W
0.0000 0.0000 0.5000 W
0.5000 0.0000 0.0000 W
0.0000 0.0000 0.0000 Te

***

PBEsol YBe2Pb, optimized geometry; D(E_F) = 0.613 states/eV/atom; total magnetic moment = 0.001 μB per cell; DFT formation energy = 334 meV per atom
1.0
3.4445 0.0368 0.0000
-0.0407 3.4445 0.0000
0.0000 0.0000 6.3389
Be Y Pb
2 1 1
Direct
0.0000 0.0000 0.7039 Be
0.0000 0.0000 0.2961 Be
0.5000 0.5000 0.0000 Y
0.5000 0.5000 0.5000 Pb

***

PBEsol SbPb3, optimized geometry; formation energy (no corrections) = 0.046 eV/atom; D(E_F) = 0.554 states/eV/atom; total magnetic moment = 0.000 μB per cell
1.0
3.4389 0.0000 0.3980
0.0000 4.8356 0.0000
-0.7669 0.0000 6.8948
Pb Sb
3 1
Direct
0.9991 0.0000 0.7578 Pb
0.0009 0.0000 0.2422 Pb
0.5000 0.5000 0.5000 Pb
0.5000 0.5000 0.0000 Sb

***

PBEsol Co2NiO4, optimized geometry; formation energy (no corrections) = -0.992 eV/atom; D(E_F) = 0.471 states/eV/atom; total magnetic moment = 4.106 μB per cell
1.0
-4.8867 2.4373 1.3662
-1.4654 0.5303 5.4091
-0.0297 5.0828 2.4227
O Co Ni
8 4 2
Direct
0.7627 0.7627 0.7120 O
0.7626 0.2122 0.2626 O
0.2122 0.7626 0.2626 O
0.2374 0.7878 0.7374 O
0.2374 0.2374 0.7374 O
0.2373 0.2373 0.2880 O
0.7626 0.7626 0.2626 O
0.7878 0.2374 0.7374 O
0.0000 0.0000 0.5000 Co
0.5000 0.0000 0.5000 Co
0.0000 0.5000 0.5000 Co
0.0000 0.0000 0.0000 Co
0.6251 0.6251 0.1246 Ni
0.3749 0.3749 0.8754 Ni

***

PBEsol LiLa3Pd, optimized geometry; D(E_F) = 1.559 states/eV/atom; total magnetic moment = 0.000 μB per cell; DFT formation energy = 1 meV per atom
1.0
-0.0746 -0.3550 5.6553
5.6656 -0.1039 0.0682
0.0994 5.6549 0.3563
Li La Pd
1 3 1
Direct
0.5000 0.5000 0.5000 Li
0.0000 0.0000 0.5000 La
0.5000 0.0000 0.0000 La
0.0000 0.5000 0.0000 La
0.0000 0.0000 0.0000 Pd

***

PBEsol Ag3PtF, optimized geometry; formation energy (no corrections) = 0.223 eV/atom; D(E_F) = 0.328 states/eV/atom; total magnetic moment = 0.000 μB per cell
1.0
4.3684 0.0000 0.0000
0.0000 4.3684 0.0000
0.0000 0.0000 4.3684
Ag Pt F
3 1 1
Direct
0.0000 0.0000 0.5000 Ag
0.0000 0.5000 0.0000 Ag
0.5000 0.0000 0.0000 Ag
0.5000 0.5000 0.5000 Pt
0.0000 0.0000 0.0000 F

***

PBEsol SrMo2Br, optimized geometry; formation energy (no corrections) = 0.651 eV/atom; D(E_F) = 0.996 states/eV/atom; total magnetic moment = 0.000 μB per cell
1.0
3.1598 0.0000 0.0000
0.0000 4.5285 0.0000
-1.5799 -2.2643 5.7325
Mo Br Sr
2 1 1
Direct
0.2656 0.2656 0.5311 Mo
0.7344 0.7344 0.4689 Mo
0.0000 0.5000 0.0000 Br
0.5000 0.0000 0.0000 Sr

***

PBEsol La2Sn2Hg, optimized geometry; D(E_F) = 0.479 states/eV/atom; total magnetic moment = 0.000 μB per cell; DFT formation energy = -691 meV per atom
1.0
-2.4729 3.2223 2.4059
-6.4467 -4.2134 -0.9831
1.4763 -3.8004 6.6073
La Sn Hg
4 4 2
Direct
0.5000 0.6731 0.8269 La
0.5000 0.8269 0.3269 La
0.5000 0.1731 0.6731 La
0.5000 0.3269 0.1731 La
0.0000 0.6304 0.1304 Sn
0.0000 0.8696 0.6304 Sn
0.0000 0.1304 0.3696 Sn
0.0000 0.3696 0.8696 Sn
0.0000 0.0000 0.0000 Hg
0.0000 0.5000 0.5000 Hg

***

PBEsol Ti4Ga3Ni2, optimized geometry; D(E_F) = 0.637 states/eV/atom; total magnetic moment = 0.001 μB per cell; DFT formation energy = -491 meV per atom
1.0
2.7549 0.0000 0.0000
0.0000 7.2577 0.0000
0.0000 -3.6288 6.2853
Ga Ti Ni
3 4 2
Direct
0.5000 0.0000 0.6861 Ga
0.5000 0.6861 0.0000 Ga
0.5000 0.3139 0.3139 Ga
0.0000 0.6341 0.6341 Ti
0.0000 0.0000 0.3659 Ti
0.0000 0.0000 0.0000 Ti
0.0000 0.3659 0.0000 Ti
0.5000 0.3333 0.6667 Ni
0.5000 0.6667 0.3333 Ni

***

PBEsol Ca5Dy3Ti5Mn3O24, optimized geometry; formation energy (no corrections) = -2.998 eV/atom; D(E_F) = 0.132 states/eV/atom; total magnetic moment = 11.725 μB per cell
1.0
-1.9160 0.7628 -4.8828
4.1442 -2.9530 -2.0655
-8.3368 -12.5279 1.3124
O Ca Ti Mn Dy
24 5 5 3 3
Direct
0.3066 0.3077 0.2277 O
0.3988 0.0264 0.3723 O
0.5886 0.9699 0.1257 O
0.7984 0.2054 0.4693 O
0.7921 0.2102 0.7721 O
0.2055 0.7907 0.7298 O
0.7047 0.6977 0.2750 O
0.7083 0.7083 0.7721 O
0.7979 0.2025 0.2785 O
0.3042 0.3006 0.0277 O
0.2118 0.7868 0.0272 O
0.3008 0.3082 0.5171 O
0.2922 0.2918 0.7294 O
0.7041 0.7014 0.9831 O
0.2059 0.7919 0.2264 O
0.0796 0.5216 0.8774 O
0.4203 0.0211 0.8779 O
0.5833 0.9738 0.6257 O
0.9026 0.4747 0.1279 O
0.9171 0.4754 0.6239 O
0.8012 0.2039 0.9804 O
0.1022 0.5299 0.3714 O
0.1875 0.8010 0.5176 O
0.7066 0.6973 0.4679 O
0.0122 0.0547 0.1287 Ca
0.5093 0.4538 0.8741 Ca
0.4868 0.5521 0.6241 Ca
0.0102 0.0468 0.6245 Ca
0.9893 0.9527 0.8731 Ca
0.0038 0.4961 0.5000 Ti
0.9958 0.5012 0.7499 Ti
0.4997 0.0032 0.7466 Ti
0.9968 0.5039 0.0009 Ti
0.5022 0.0092 0.0010 Ti
0.4955 0.0019 0.2495 Mn
0.0022 0.4973 0.2498 Mn
0.4924 0.9966 0.4988 Mn
0.5159 0.4316 0.3729 Dy
0.4867 0.5661 0.1292 Dy
0.9809 0.9341 0.3732 Dy

***

PBEsol Sc2S2N, optimized geometry; formation energy (no corrections) = -0.539 eV/atom; D(E_F) = 0.466 states/eV/atom; total magnetic moment = 0.000 μB per cell
1.0
-1.2742 1.0240 -2.9215
0.7656 -2.9570 -1.3703
-5.5561 -1.3380 3.8724
N Sc S
1 2 2
Direct
0.0000 0.0000 0.0000 N
0.5999 0.5999 0.1998 Sc
0.4001 0.4001 0.8002 Sc
0.2500 0.7500 0.5000 S
0.7500 0.2500 0.5000 S

***

PBEsol NdAl4, optimized geometry; D(E_F) = 0.526 states/eV/atom; total magnetic moment = 0.000 μB per cell; DFT formation energy = -283 meV per atom
1.0
-3.3805 -0.9094 2.3349
2.4896 -1.6626 2.9570
0.8295 6.3759 -0.1075
Al Nd
4 1
Direct
0.7500 0.2500 0.5000 Al
0.3898 0.3898 0.7797 Al
0.6102 0.6102 0.2203 Al
0.2500 0.7500 0.5000 Al
0.0000 0.0000 0.0000 Nd

***

PBEsol TiTe2AuI, optimized geometry; formation energy (no corrections) = 0.646 eV/atom; D(E_F) = 1.608 states/eV/atom; total magnetic moment = 1.698 μB per cell
1.0
-2.2263 -4.4692 -1.9764
4.4010 -0.8933 -2.9375
2.1160 -2.8376 4.0332
Te Ti Au I
2 1 1 1
Direct
0.0000 0.5000 0.0000 Te
0.0000 0.0000 0.5000 Te
0.5000 0.5000 0.5000 Ti
0.0000 0.0000 0.0000 Au
0.5000 0.0000 0.0000 I

***

PBEsol Cu3Ag, optimized geometry; D(E_F) = 0.334 states/eV/atom; total magnetic moment = 0.000 μB per cell; DFT formation energy = 74 meV per atom
1.0
-1.1709 0.6846 2.3977
-2.4539 -0.7866 -0.9737
1.0714 -6.1710 2.2853
Cu Ag
3 1
Direct
0.5000 0.5000 0.2759 Cu
0.5000 0.5000 0.7241 Cu
0.0000 0.0000 0.5000 Cu
0.0000 0.0000 0.0000 Ag

***

PBEsol Na2SnPCO7, optimized geometry; formation energy (no corrections) = -1.800 eV/atom; D(E_F) = 0.202 states/eV/atom; total magnetic moment = 0.001 μB per cell
1.0
5.1648 0.0000 0.2459
0.0000 6.8268 0.0000
-0.1050 0.0000 9.2442
Na Sn O P C
4 2 14 2 2
Direct
0.2456 0.5061 0.7491 Na
0.2236 0.2671 0.0802 Na
0.7544 0.0061 0.2509 Na
0.7764 0.7671 0.9198 Na
0.2317 0.7384 0.3523 Sn
0.7683 0.2384 0.6477 Sn
0.1951 0.0677 0.3241 O
0.8363 0.7606 0.4341 O
0.0477 0.7576 0.1371 O
0.4797 0.7836 0.1264 O
0.5892 0.2247 0.4290 O
0.2633 0.7352 0.9224 O
0.1637 0.2606 0.5659 O
0.9523 0.2576 0.8629 O
0.7721 0.9257 0.6833 O
0.8049 0.5677 0.6759 O
0.2279 0.4257 0.3167 O
0.7367 0.2352 0.0776 O
0.4108 0.7247 0.5710 O
0.5203 0.2836 0.8736 O
0.7067 0.7456 0.5881 P
0.2933 0.2456 0.4119 P
0.2659 0.7596 0.0582 C
0.7341 0.2596 0.9418 C

***

PBEsol ZnCdIn2, optimized geometry; D(E_F) = 0.394 states/eV/atom; total magnetic moment = 0.000 μB per cell; DFT formation energy = 86 meV per atom
1.0
-2.5096 -1.5523 -1.3988
3.0619 -4.6558 -0.3268
-0.8978 0.3692 5.0128
Cd In Zn
1 2 1
Direct
0.2379 0.7338 0.4757 Cd
0.9970 0.9895 0.9939 In
0.7613 0.2734 0.5226 In
0.5039 0.5032 0.0078 Zn

***

PBEsol Cs2NaGaCl6, optimized geometry; formation energy (no corrections) = -1.642 eV/atom; D(E_F) = 0.000 states/eV/atom; total magnetic moment = 0.000 μB per cell
1.0
-3.6226 -2.9513 -5.5529
2.8563 -5.5969 -3.6311
-2.9007 -6.6188 0.6678
Cl Ga Cs Na
6 1 2 1
Direct
0.7312 0.2688 0.2688 Cl
0.7312 0.7312 0.2688 Cl
0.2688 0.2688 0.7312 Cl
0.2688 0.7312 0.7312 Cl
0.7312 0.2688 0.7312 Cl
0.2688 0.7312 0.2688 Cl
0.5000 0.5000 0.5000 Ga
0.2500 0.2500 0.2500 Cs
0.7500 0.7500 0.7500 Cs
0.0000 0.0000 0.0000 Na